VASP calculation (PBE) on a relaxed structure of TcP3F. Values from VASP.

The calculated density comes out at 3.7 Mg/m³. The uncorrected formation energy comes out at 0.23 eV per atom.

Geometry as Quantum ESPRESSO input:
```
&SYSTEM
  ibrav = 0, nat = 5, ntyp = 3
/
ATOMIC_SPECIES
Tc 98.00 Tc.upf
P 30.97 P.upf
F 19.00 F.upf
ATOMIC_POSITIONS crystal
Tc 0.000 0.000 0.000
P 0.000 0.000 0.500
P 0.500 0.000 0.000
P 0.000 0.500 0.000
F 0.500 0.500 0.500
CELL_PARAMETERS angstrom
-1.731 -2.572 -3.356
-2.236 -2.520 3.085
-3.588 2.812 -0.304
```